Computed, not measured: a relaxed TiIN2O crystal at the PBE level of DFT.

The structure belongs to space group P4/mmm (No. 123); the cell edges are 3.7330, 3.7330 and 6.2061 Å and the angles 90.00°, 90.00° and 90.00°. The asymmetric unit holds Ti at (0.0000, 0.0000, 0.0000), I at (0.0000, 0.0000, 0.5000), N at (0.0000, 0.5000, 0.0000) and O at (0.5000, 0.5000, 0.5000).

The uncorrected formation energy comes out at 0.65 eV per atom. For the total magnetization, the calculation gives 0.00 Bohr magnetons per cell. The total energy comes out at -27.82 eV per cell. For the density of states at the Fermi level, the calculation gives 2.7 states/eV/cell.